First-principles (GGA-PBE) data for NdY3Pd3 after structural relaxation, as listed in Alexandria.

Calculated values
Its density is 6.9 Mg/m³. The formation energy is -4.61 eV per formula unit.

Cell: 9.356 10.541 7.157 Å, 90.00 91.55 90.00°
Space group C2/m (No. 12)
Symmetry-distinct sites (fractional):
Nd  0.236  0.000  0.376
Y  0.000  0.252  0.500
Y  0.000  0.322  0.000
Y  0.154  0.000  0.866
Pd  0.062  0.500  0.305
Pd  0.244  0.251  0.221

---

First-principles (GGA-PBE) data for Nd2YPd4 after structural relaxation, as listed in Alexandria.

Calculated values
Its density is 7.0 Mg/m³. The formation energy is -1.53 eV per formula unit.

Cell: 5.058 5.058 14.949 Å, 90.00 90.00 90.00°
Space group I4/mmm (No. 139)
Symmetry-distinct sites (fractional):
Nd  0.000  0.000  0.135
Y  0.000  0.000  0.500
Pd  0.000  0.000  0.319
Pd  0.000  0.500  0.000

---

First-principles (GGA-PBE) data for Nd2YPd9 after structural relaxation, as listed in Alexandria.

Calculated values
Its density is 10.1 Mg/m³. The formation energy is -9.45 eV per formula unit.

Cell: 4.185 4.185 12.524 Å, 90.00 90.00 90.00°
Space group P4/mmm (No. 123)
Symmetry-distinct sites (fractional):
Nd  0.000  0.000  0.169
Y  0.000  0.000  0.500
Pd  0.000  0.500  0.000
Pd  0.000  0.500  0.337
Pd  0.500  0.500  0.168
Pd  0.500  0.500  0.500

---

First-principles (GGA-PBE) data for NdY4Pd after structural relaxation, as listed in Alexandria.

Calculated values
Its density is 5.0 Mg/m³. The formation energy is -0.69 eV per formula unit.

Cell: 5.677 7.591 9.720 Å, 90.00 106.94 90.00°
Space group P2_1 (No. 4)
Symmetry-distinct sites (fractional):
Nd  0.119  0.000  0.238
Y  0.122  0.500  0.244
Y  0.295  0.257  0.591
Y  0.295  0.743  0.591
Y  0.500  0.251  0.000
Pd  0.398  0.000  0.797

---

First-principles (GGA-PBE) data for Nd2YPd3 after structural relaxation, as listed in Alexandria.

Calculated values
Its density is 8.3 Mg/m³. For the energy above the most stable polymorph in this dataset, the calculation gives 0 meV per atom. The formation energy is -4.70 eV per formula unit.

Cell: 5.106 15.496 3.507 Å, 90.00 90.00 90.00°
Space group Cmmm (No. 65)
Symmetry-distinct sites (fractional):
Nd  0.000  0.166  0.000
Y  0.000  0.500  0.000
Pd  0.000  0.000  0.500
Pd  0.000  0.343  0.500

---

First-principles (GGA-PBE) data for Nd3Y2Pd2 after structural relaxation, as listed in Alexandria.

Calculated values
Its density is 6.8 Mg/m³. The formation energy is -3.22 eV per formula unit.

Cell: 12.399 3.863 9.128 Å, 90.00 114.02 90.00°
Space group C2/m (No. 12)
Symmetry-distinct sites (fractional):
Nd  0.000  0.000  0.000
Nd  0.115  0.000  0.440
Y  0.160  0.500  0.811
Pd  0.170  0.500  0.221